DFT (PBE-GGA) results for a relaxed SmScTi crystal.

Cell: 3.2693 3.2693 7.9085 Å, 90.00 90.00 120.00°
Space group P3m1 (No. 156)
One atom of each set of equivalent atoms:
Sm  0.0000  0.0000  0.0000 [1 per cell]
Sc  0.3333  0.6667  0.6188 [1 per cell]
Ti  0.6667  0.3333  0.3228 [1 per cell]

Computed properties:
DFT formation energy	223	meV/atom
energy	-18.3	eV for the cell shown